Record 1
{
  "formula": "LaPt2O4",
  "functional": "PBE",
  "state": "relaxed",
  "lattice": [[4.695, -4.687, 0.000], [-4.695, 0.000, -4.687], [4.695, 4.687, 0.000]],
  "species": ["La", "La", "Pt", "Pt", "Pt", "Pt", "O", "O", "O", "O", "O", "O", "O", "O"],
  "frac_coords": [[0.000, 0.000, 0.000], [0.750, 0.500, 0.250], [0.375, 0.250, 0.625], [0.875, 0.250, 0.625], [0.375, 0.750, 0.625], [0.375, 0.750, 0.125], [0.144, 0.289, 0.433], [0.145, 0.289, 0.856], [0.606, 0.789, 0.395], [0.144, 0.711, 0.855], [0.605, 0.211, 0.394], [0.567, 0.711, 0.856], [0.606, 0.211, 0.817], [0.183, 0.789, 0.394]],
  "final_energy_ev_per_fu": -43.650,
  "sg": "I4_1/amd, No. 141",
  "vol_a3_per_cell": 206.3
}

Record 2
{
  "formula": "LaZn3Pt4O12",
  "functional": "PBE",
  "state": "relaxed",
  "lattice": [[-3.836, 3.836, 3.836], [3.836, -3.836, 3.836], [3.836, 3.836, -3.836]],
  "species": ["Pt", "Pt", "Pt", "Pt", "O", "O", "O", "O", "O", "O", "O", "O", "O", "O", "O", "O", "La", "Zn", "Zn", "Zn"],
  "frac_coords": [[0.500, 0.500, 0.500], [0.500, 0.000, 0.000], [0.000, 0.500, 0.000], [0.000, 0.000, 0.500], [0.304, 0.173, 0.476], [0.869, 0.696, 0.173], [0.131, 0.304, 0.827], [0.173, 0.869, 0.696], [0.173, 0.476, 0.304], [0.304, 0.827, 0.131], [0.476, 0.304, 0.173], [0.827, 0.524, 0.696], [0.696, 0.173, 0.869], [0.524, 0.696, 0.827], [0.827, 0.131, 0.304], [0.696, 0.827, 0.524], [0.000, 0.000, 0.000], [0.500, 0.000, 0.500], [0.000, 0.500, 0.500], [0.500, 0.500, 0.000]],
  "final_energy_ev_per_fu": -113.119,
  "sg": "Im-3, No. 204",
  "vol_a3_per_cell": 225.8
}

Record 3
{
  "formula": "Rb2LaTbO4",
  "functional": "PBE",
  "state": "relaxed",
  "lattice": [[3.598, 0.000, 0.000], [-1.799, 3.116, 0.000], [0.000, 0.000, 12.948]],
  "species": ["Tb", "Rb", "Rb", "O", "O", "O", "O", "La"],
  "frac_coords": [[0.000, 0.000, 0.000], [0.667, 0.333, 0.244], [0.333, 0.667, 0.756], [0.333, 0.667, 0.404], [0.667, 0.333, 0.596], [0.333, 0.667, 0.087], [0.667, 0.333, 0.913], [0.000, 0.000, 0.500]],
  "final_energy_ev_per_fu": -52.278,
  "sg": "P-3m1, No. 164",
  "vol_a3_per_cell": 145.1
}

Record 4
{
  "formula": "Rb2LaTmO4",
  "functional": "PBE",
  "state": "relaxed",
  "lattice": [[3.559, 0.000, 0.000], [-1.779, 3.082, 0.000], [0.000, 0.000, 12.942]],
  "species": ["Rb", "Rb", "O", "O", "O", "O", "La", "Tm"],
  "frac_coords": [[0.333, 0.667, 0.743], [0.667, 0.333, 0.257], [0.667, 0.333, 0.583], [0.333, 0.667, 0.417], [0.667, 0.333, 0.903], [0.333, 0.667, 0.097], [0.000, 0.000, 0.000], [0.000, 0.000, 0.500]],
  "final_energy_ev_per_fu": -52.218,
  "sg": "P-3m1, No. 164",
  "vol_a3_per_cell": 142.0
}

Record 5
{
  "formula": "LaReO5",
  "functional": "PBE",
  "state": "relaxed",
  "lattice": [[0.182, 4.779, 3.014], [-4.001, -0.209, 3.988], [5.845, -4.520, 1.962]],
  "species": ["O", "O", "O", "O", "O", "O", "O", "O", "O", "O", "Re", "Re", "La", "La"],
  "frac_coords": [[0.060, 0.940, 0.750], [0.708, 0.274, 0.534], [0.726, 0.292, 0.966], [0.206, 0.232, 0.611], [0.940, 0.060, 0.250], [0.794, 0.768, 0.389], [0.292, 0.726, 0.466], [0.232, 0.206, 0.111], [0.274, 0.708, 0.034], [0.768, 0.794, 0.889], [0.000, 0.000, 0.500], [0.000, 0.000, 0.000], [0.554, 0.446, 0.250], [0.446, 0.554, 0.750]],
  "final_energy_ev_per_fu": -57.822,
  "sg": "C2/c, No. 15",
  "vol_a3_per_cell": 210.3
}

Record 6
{
  "formula": "La4Re6O19",
  "functional": "PBE",
  "state": "relaxed",
  "lattice": [[2.862, 1.589, 7.099], [3.910, -6.018, -3.099], [0.801, 6.272, -4.597]],
  "species": ["La", "La", "La", "La", "O", "O", "O", "O", "O", "O", "O", "O", "O", "O", "O", "O", "O", "O", "O", "O", "O", "O", "O", "Re", "Re", "Re", "Re", "Re", "Re"],
  "frac_coords": [[0.684, 0.684, 0.684], [0.000, 0.000, 0.316], [0.000, 0.316, 0.000], [0.316, 0.000, 0.000], [0.683, 0.740, 0.378], [0.320, 0.000, 0.320], [0.305, 0.622, 0.362], [0.000, 0.320, 0.320], [0.057, 0.317, 0.695], [0.943, 0.638, 0.260], [0.680, 0.680, 0.000], [0.000, 0.680, 0.680], [0.260, 0.943, 0.638], [0.320, 0.320, 0.000], [0.317, 0.695, 0.057], [0.622, 0.362, 0.305], [0.740, 0.378, 0.683], [0.638, 0.260, 0.943], [0.695, 0.057, 0.317], [0.378, 0.683, 0.740], [0.362, 0.305, 0.622], [0.000, 0.000, 0.000], [0.680, 0.000, 0.680], [0.500, 0.133, 0.633], [0.367, 0.500, 0.867], [0.633, 0.500, 0.133], [0.500, 0.867, 0.367], [0.867, 0.367, 0.500], [0.133, 0.633, 0.500]],
  "final_energy_ev_per_fu": -252.863,
  "sg": "I23, No. 197",
  "vol_a3_per_cell": 367.7
}

Record 7
{
  "formula": "La3Re2O9",
  "functional": "PBE",
  "state": "relaxed",
  "lattice": [[5.659, 0.000, 0.000], [2.450, 6.388, 0.000], [2.765, 1.588, 10.645]],
  "species": ["O", "O", "O", "O", "O", "O", "O", "O", "O", "O", "O", "O", "O", "O", "O", "O", "O", "O", "La", "La", "La", "La", "La", "La", "Re", "Re", "Re", "Re"],
  "frac_coords": [[0.063, 0.613, 0.712], [0.144, 0.312, 0.936], [0.360, 0.977, 0.816], [0.825, 0.986, 0.811], [0.413, 0.443, 0.312], [0.587, 0.557, 0.688], [0.698, 0.082, 0.409], [0.385, 0.671, 0.071], [0.175, 0.014, 0.189], [0.856, 0.688, 0.064], [0.640, 0.023, 0.184], [0.625, 0.683, 0.422], [0.937, 0.387, 0.288], [0.375, 0.317, 0.578], [0.302, 0.918, 0.591], [0.112, 0.752, 0.460], [0.888, 0.248, 0.540], [0.615, 0.329, 0.929], [0.997, 0.275, 0.732], [0.718, 0.905, 0.620], [0.224, 0.663, 0.883], [0.003, 0.725, 0.268], [0.282, 0.095, 0.380], [0.776, 0.338, 0.117], [0.491, 0.111, 0.909], [0.509, 0.889, 0.091], [0.644, 0.378, 0.429], [0.356, 0.622, 0.571]],
  "final_energy_ev_per_fu": -121.218,
  "sg": "P-1, No. 2",
  "vol_a3_per_cell": 384.8
}

Record 8
{
  "formula": "LaTmSO2",
  "functional": "PBE",
  "state": "relaxed",
  "lattice": [[-2.953, -0.911, -2.369], [1.623, -2.746, 2.233], [-4.361, 1.403, 4.894]],
  "species": ["S", "O", "O", "Tm", "La"],
  "frac_coords": [[0.000, 0.000, 0.017], [0.333, 0.667, 0.360], [0.667, 0.333, 0.617], [0.667, 0.333, 0.284], [0.333, 0.667, 0.722]],
  "final_energy_ev_per_fu": -39.278,
  "sg": "P3m1, No. 156",
  "vol_a3_per_cell": 88.0
}